No. 1
This record from the Alexandria database describes crystalline Dy12Er5Al2 at its relaxed geometry. The functional is PBE.

For the energy relative to the elements, the calculation gives 21 meV/atom. Its energy is -170.241 eV for the cell shown. The value obtained for the volume is 1141.0 Å³ per cell.

It has space group C2/m (No. 12), with a = 15.0272 Å, b = 9.2331 Å, c = 8.2326 Å, α = 90.00°, β = 92.73° and γ = 90.00°. The asymmetric unit holds Dy at (0.0535, 0.0000, 0.3218), Dy at (0.0793, 0.5000, 0.8795), Dy at (0.1258, 0.1961, 0.6716), Dy at (0.1437, 0.3138, 0.2285), Er at (0.0000, 0.5000, 0.5000), Er at (0.1892, 0.0000, 0.0142), Er at (0.2322, 0.5000, 0.5745) and Al at (0.0000, 0.1695, 0.0000).

=====

No. 2
This record from the Alexandria database describes crystalline Dy9Er4Al11 at its relaxed geometry. The functional is PBE.

For the energy relative to the elements, the calculation gives -325 meV/atom. Its energy is -217.283 eV for the cell shown. The value obtained for the volume is 1145.6 Å³ per cell.

It has space group Cmmm (No. 65), with a = 15.3152 Å, b = 22.2738 Å, c = 3.3584 Å, α = 90.00°, β = 90.00° and γ = 90.00°. The asymmetric unit holds Dy at (0.0000, 0.0000, 0.0000), Dy at (0.1085, 0.4047, 0.0000), Dy at (0.1123, 0.2253, 0.0000), Er at (0.1752, 0.0830, 0.0000), Al at (0.0000, 0.1211, 0.5000), Al at (0.0000, 0.3130, 0.5000), Al at (0.0000, 0.5000, 0.5000), Al at (0.2035, 0.5000, 0.5000) and Al at (0.2266, 0.3144, 0.5000).